Density functional theory data (GGA-PBE) for a relaxed MnAlTl2Tc crystal. Values from VASP.

The structure in Quantum ESPRESSO input format:
```
&SYSTEM
  ibrav = 0, nat = 5, ntyp = 4
/
ATOMIC_SPECIES
Mn 54.94 Mn.upf
Al 26.98 Al.upf
Tl 204.38 Tl.upf
Tc 98.00 Tc.upf
CELL_PARAMETERS angstrom
5.306 0.000 0.000
0.000 5.306 0.000
0.000 0.000 4.777
ATOMIC_POSITIONS angstrom
Mn 0.000 0.000 0.000
Al 2.653 2.653 0.000
Tl 0.000 2.653 2.389
Tl 2.653 0.000 2.389
Tc 2.653 2.653 2.389
```

Results
Total magnetic moment: 5.7 μB/f.u.
DFT formation energy: 811 meV per atom
Calculated volume: 26.90 Å³ per atom
Energy above the most stable polymorph in this dataset: 0.00 eV/f.u.

---

Density functional theory data (GGA-PBE) for a relaxed NaOsNF2 crystal. Values from VASP.

The structure in Quantum ESPRESSO input format:
```
&SYSTEM
  ibrav = 0, nat = 5, ntyp = 4
/
ATOMIC_SPECIES
Na 22.99 Na.upf
Os 190.23 Os.upf
N 14.01 N.upf
F 19.00 F.upf
CELL_PARAMETERS angstrom
4.333 0.000 0.000
0.000 4.333 0.000
0.000 0.000 3.748
ATOMIC_POSITIONS angstrom
Na 0.000 0.000 0.000
Os 2.166 2.166 1.874
N 2.166 2.166 0.000
F 0.000 2.166 1.874
F 2.166 0.000 1.874
```

Results
Total magnetic moment: 0.7 μB/f.u.
ΔE_f (raw): -0.84 eV/atom
Calculated volume: 14.07 Å³ per atom
Energy above the most stable polymorph in this dataset: 0.00 eV/f.u.

---

Density functional theory data (GGA-PBE) for a relaxed MnTlAu2 crystal. Values from VASP.

The structure in Quantum ESPRESSO input format:
```
&SYSTEM
  ibrav = 0, nat = 4, ntyp = 3
/
ATOMIC_SPECIES
Mn 54.94 Mn.upf
Tl 204.38 Tl.upf
Au 196.97 Au.upf
CELL_PARAMETERS angstrom
0.000 3.382 3.382
3.382 0.000 3.382
3.382 3.382 0.000
ATOMIC_POSITIONS angstrom
Mn 0.000 0.000 0.000
Tl 3.382 3.382 3.382
Au 1.691 1.691 1.691
Au 5.073 5.073 5.073
```

Results
Total magnetic moment: 4.3 μB/f.u.
DFT formation energy: 134 meV per atom
Calculated volume: 19.34 Å³ per atom
Energy above the most stable polymorph in this dataset: 0.45 eV/f.u.

---

Density functional theory data (GGA-PBE) for a relaxed SmY8Tm4 crystal. Values from VASP.

The structure in Quantum ESPRESSO input format:
```
&SYSTEM
  ibrav = 0, nat = 13, ntyp = 3
/
ATOMIC_SPECIES
Sm 150.36 Sm.upf
Y 88.91 Y.upf
Tm 168.93 Tm.upf
CELL_PARAMETERS angstrom
3.635 2.099 9.075
-3.635 2.099 9.075
0.000 -4.197 9.075
ATOMIC_POSITIONS angstrom
Sm 0.000 0.000 0.000
Y 0.000 -1.884 10.877
Y -1.632 0.942 10.877
Y 0.000 0.000 7.697
Y -1.632 -0.942 16.347
Y 1.632 0.942 10.877
Y 0.000 0.000 19.527
Y 1.632 -0.942 16.347
Y 0.000 1.884 16.347
Tm -3.635 0.000 13.612
Tm -1.817 1.049 4.537
Tm 1.817 1.049 4.537
Tm 0.000 0.000 13.612
```

Results
Total magnetic moment: 0.0 μB/f.u.
DFT formation energy: 214 meV per atom
Calculated volume: 31.95 Å³ per atom

---

Density functional theory data (GGA-PBE) for a relaxed LiY2Cl crystal. Values from VASP.

The structure in Quantum ESPRESSO input format:
```
&SYSTEM
  ibrav = 0, nat = 4, ntyp = 3
/
ATOMIC_SPECIES
Li 6.94 Li.upf
Y 88.91 Y.upf
Cl 35.45 Cl.upf
CELL_PARAMETERS angstrom
1.869 -2.939 0.000
1.869 2.939 0.000
0.000 0.000 9.615
ATOMIC_POSITIONS angstrom
Li 0.000 0.000 0.000
Y 0.000 0.000 3.939
Y 1.869 0.000 6.703
Cl 1.869 0.000 1.739
```

Results
Total magnetic moment: 0.0 μB/f.u.
ΔE_f (raw): -0.64 eV/atom
Calculated volume: 26.40 Å³ per atom
Energy above the most stable polymorph in this dataset: 0.00 eV/f.u.

---

Density functional theory data (GGA-PBE) for a relaxed PaAgBi3 crystal. Values from VASP.

The structure in Quantum ESPRESSO input format:
```
&SYSTEM
  ibrav = 0, nat = 5, ntyp = 3
/
ATOMIC_SPECIES
Pa 231.04 Pa.upf
Ag 107.87 Ag.upf
Bi 208.98 Bi.upf
CELL_PARAMETERS angstrom
4.648 0.000 0.000
0.000 2.211 7.300
0.000 -2.211 7.300
ATOMIC_POSITIONS angstrom
Pa 0.000 0.000 0.000
Ag 0.000 0.000 4.797
Bi 0.000 0.000 9.899
Bi 2.324 0.000 2.458
Bi 2.324 0.000 6.668
```

Results
Total magnetic moment: 0.8 μB/f.u.
DFT formation energy: 35 meV per atom
Calculated volume: 30.01 Å³ per atom

---

Density functional theory data (GGA-PBE) for a relaxed ZrPaN3 crystal. Values from VASP.

The structure in Quantum ESPRESSO input format:
```
&SYSTEM
  ibrav = 0, nat = 10, ntyp = 3
/
ATOMIC_SPECIES
Zr 91.22 Zr.upf
Pa 231.04 Pa.upf
N 14.01 N.upf
CELL_PARAMETERS angstrom
2.779 1.604 5.416
-2.779 1.604 5.416
0.000 -3.209 5.416
ATOMIC_POSITIONS angstrom
Zr 0.000 0.000 2.403
Zr 0.000 0.000 13.845
Pa 0.000 0.000 5.786
Pa 0.000 0.000 10.462
N -1.136 -1.675 6.774
N -0.883 -1.822 9.473
N -0.883 1.822 6.774
N -1.136 1.675 9.473
N 2.019 -0.146 6.774
N 2.019 0.146 9.473
```

Results
Total magnetic moment: 0.0 μB/f.u.
ΔE_f (raw): -1.28 eV/atom
Calculated volume: 14.49 Å³ per atom

---

Density functional theory data (GGA-PBE) for a relaxed LaGa2CuAu4 crystal. Values from VASP.

The structure in Quantum ESPRESSO input format:
```
&SYSTEM
  ibrav = 0, nat = 8, ntyp = 4
/
ATOMIC_SPECIES
La 138.91 La.upf
Ga 69.72 Ga.upf
Cu 63.55 Cu.upf
Au 196.97 Au.upf
CELL_PARAMETERS angstrom
2.250 1.299 8.952
-2.250 1.299 8.952
0.000 -2.598 8.952
ATOMIC_POSITIONS angstrom
La 0.000 0.000 0.000
Ga 0.000 0.000 6.493
Ga 0.000 0.000 20.361
Cu 0.000 0.000 13.427
Au 0.000 0.000 3.657
Au 0.000 0.000 10.741
Au 0.000 0.000 16.114
Au 0.000 0.000 23.197
```

Results
Total magnetic moment: 0.0 μB/f.u.
DFT formation energy: -410 meV per atom
Calculated volume: 19.62 Å³ per atom